First-principles (PBE) data for a relaxed structure of Na6ZnHg2, as listed in Alexandria.

The calculation puts the calculated density at 3.90 g cm⁻³. The value obtained for the calculated volume is 28.567 Å³/atom. The energy relative to the elements comes out at -0.107 eV/atom. The energy is -1.19 eV/atom.

The structure belongs to space group R-3m (No. 166, hexagonal axes); the cell edges are 5.4074, 5.4074 and 30.4601 Å and the angles 90.00°, 90.00° and 120.00°. The inequivalent atoms are Na at (0.0000, 0.0000, 0.0770), Na at (0.0000, 0.0000, 0.1968), Na at (0.0000, 0.0000, 0.3088), Zn at (0.0000, 0.0000, 0.5000) and Hg at (0.0000, 0.0000, 0.4118).


First-principles (PBE) data for a relaxed structure of Na2ZnHg4, as listed in Alexandria.

The value obtained for the distance to the lowest polymorph of the same formula is 1.5 kJ/mol of atoms. The calculation puts the calculated density at 7.00 g cm⁻³. The value obtained for the calculated volume is 30.961 Å³/atom. The energy relative to the elements comes out at -0.036 eV/atom. The energy is -0.77 eV/atom.

The structure belongs to space group I4/mmm (No. 139); the cell edges are 5.295, 5.295 and 15.459 Å and the angles 90.00°, 90.00° and 90.00°. The inequivalent atoms are Na at (0.000, 0.000, 0.123), Zn at (0.000, 0.000, 0.500), Hg at (0.000, 0.000, 0.318) and Hg at (0.000, 0.500, 0.000).


First-principles (PBE) data for a relaxed structure of Na12ZnHg3, as listed in Alexandria.

The calculation puts the calculated density at 3.39 g cm⁻³. The value obtained for the calculated volume is 28.829 Å³/atom. The energy relative to the elements comes out at -0.088 eV/atom. The energy is -1.21 eV/atom.

The structure belongs to space group P4/mmm (No. 123); the cell edges are 4.859, 4.859 and 19.540 Å and the angles 90.00°, 90.00° and 90.00°. The inequivalent atoms are Na at (0.000, 0.000, 0.000), Na at (0.000, 0.000, 0.249), Na at (0.000, 0.000, 0.500), Na at (0.000, 0.500, 0.124), Na at (0.000, 0.500, 0.374), Zn at (0.500, 0.500, 0.000), Hg at (0.500, 0.500, 0.249) and Hg at (0.500, 0.500, 0.500).


First-principles (PBE) data for a relaxed structure of Na8ZnHg2, as listed in Alexandria.

The value obtained for the distance to the lowest polymorph of the same formula is 0.5 kJ/mol of atoms. The calculation puts the calculated density at 3.37 g cm⁻³. The value obtained for the calculated volume is 29.164 Å³/atom. The energy relative to the elements comes out at -0.077 eV/atom. The energy is -1.21 eV/atom.

The structure belongs to space group Immm (No. 71); the cell edges are 5.178, 8.265 and 14.991 Å and the angles 90.00°, 90.00° and 90.00°. The inequivalent atoms are Na at (0.000, 0.000, 0.151), Na at (0.000, 0.222, 0.347), Na at (0.000, 0.300, 0.000), Zn at (0.000, 0.500, 0.500) and Hg at (0.000, 0.500, 0.192).


First-principles (PBE) data for a relaxed structure of NaZn2Hg, as listed in Alexandria.

The calculation puts the calculated density at 7.09 g cm⁻³. The value obtained for the calculated volume is 20.754 Å³/atom. The energy relative to the elements comes out at 0.055 eV/atom. The energy is -0.99 eV/atom.

The structure belongs to space group P4/mmm (No. 123); the cell edges are 3.684, 3.684 and 6.117 Å and the angles 90.00°, 90.00° and 90.00°. The inequivalent atoms are Na at (0.000, 0.000, 0.000), Zn at (0.500, 0.500, 0.261) and Hg at (0.000, 0.000, 0.500).


First-principles (PBE) data for a relaxed structure of NaZn3Hg3, as listed in Alexandria.

The calculation puts the calculated density at 6.50 g cm⁻³. The value obtained for the calculated volume is 29.983 Å³/atom. The energy relative to the elements comes out at 0.171 eV/atom. The energy is -0.69 eV/atom.

The structure belongs to space group Pm-3n (No. 223); the cell edges are 7.487, 7.487 and 7.487 Å and the angles 90.00°, 90.00° and 90.00°. The inequivalent atoms are Na at (0.000, 0.000, 0.000), Zn at (0.000, 0.250, 0.500) and Hg at (0.000, 0.500, 0.250).


First-principles (PBE) data for a relaxed structure of Na12ZnHg6, as listed in Alexandria.

The calculation puts the calculated density at 4.89 g cm⁻³. The value obtained for the calculated volume is 27.600 Å³/atom. The energy relative to the elements comes out at -0.151 eV/atom. The energy is -1.15 eV/atom.

The structure belongs to space group R-3 (No. 148, hexagonal axes); the cell edges are 11.2050, 11.2050 and 14.4685 Å and the angles 90.00°, 90.00° and 120.00°. The inequivalent atoms are Na at (0.0346, 0.8442, 0.3206), Na at (0.0571, 0.2181, 0.9115), Zn at (0.0000, 0.0000, 0.5000) and Hg at (0.0364, 0.5968, 0.2085).


First-principles (PBE) data for a relaxed structure of Na2ZnHg2, as listed in Alexandria.

The value obtained for the distance to the lowest polymorph of the same formula is 2.4 kJ/mol of atoms. The calculation puts the calculated density at 6.60 g cm⁻³. The value obtained for the calculated volume is 25.782 Å³/atom. The energy relative to the elements comes out at -0.129 eV/atom. The energy is -1.03 eV/atom.

The structure belongs to space group P4/mbm (No. 127); the cell edges are 7.309, 7.309 and 4.826 Å and the angles 90.00°, 90.00° and 90.00°. The inequivalent atoms are Na at (0.168, 0.332, 0.000), Zn at (0.000, 0.000, 0.500) and Hg at (0.145, 0.645, 0.500).


First-principles (PBE) data for a relaxed structure of Na2ZnHg2, as listed in Alexandria.

The value obtained for the distance to the lowest polymorph of the same formula is 4.7 kJ/mol of atoms. The calculation puts the calculated density at 6.00 g cm⁻³. The value obtained for the calculated volume is 28.390 Å³/atom. The energy relative to the elements comes out at -0.105 eV/atom. The energy is -1.01 eV/atom.

The structure belongs to space group Ibam (No. 72); the cell edges are 6.680, 13.448 and 6.321 Å and the angles 90.00°, 90.00° and 90.00°. The inequivalent atoms are Na at (0.190, 0.141, 0.000), Zn at (0.000, 0.500, 0.250) and Hg at (0.221, 0.372, 0.000).


First-principles (PBE) data for a relaxed structure of NaZn3Hg, as listed in Alexandria.

The value obtained for the distance to the lowest polymorph of the same formula is 0.0 kJ/mol of atoms. The calculation puts the calculated density at 5.23 g cm⁻³. The value obtained for the calculated volume is 26.666 Å³/atom. The energy relative to the elements comes out at 0.276 eV/atom. The energy is -0.81 eV/atom.

The structure belongs to space group Pm-3m (No. 221); the cell edges are 5.109, 5.109 and 5.109 Å and the angles 90.00°, 90.00° and 90.00°. The inequivalent atoms are Na at (0.000, 0.000, 0.000), Zn at (0.000, 0.500, 0.500) and Hg at (0.500, 0.500, 0.500).


First-principles (PBE) data for a relaxed structure of Na2ZnHg2, as listed in Alexandria.

The value obtained for the distance to the lowest polymorph of the same formula is 17.0 kJ/mol of atoms. The calculation puts the calculated density at 5.77 g cm⁻³. The value obtained for the calculated volume is 29.518 Å³/atom. The energy relative to the elements comes out at 0.023 eV/atom. The energy is -0.88 eV/atom.

The structure belongs to space group I4/mmm (No. 139); the cell edges are 4.228, 4.228 and 16.511 Å and the angles 90.00°, 90.00° and 90.00°. The inequivalent atoms are Na at (0.000, 0.000, 0.101), Zn at (0.000, 0.000, 0.500) and Hg at (0.000, 0.500, 0.250).


First-principles (PBE) data for a relaxed structure of Na5ZnHg6, as listed in Alexandria.

The calculation puts the calculated density at 7.71 g cm⁻³. The value obtained for the calculated volume is 24.845 Å³/atom. The energy relative to the elements comes out at -0.202 eV/atom. The energy is -1.01 eV/atom.

The structure belongs to space group C2/m (No. 12); the cell edges are 16.135, 7.336 and 5.280 Å and the angles 90.00°, 107.42° and 90.00°. The inequivalent atoms are Na at (0.000, 0.000, 0.000), Na at (0.160, 0.000, 0.666), Na at (0.184, 0.500, 0.694), Zn at (0.000, 0.500, 0.000), Hg at (0.000, 0.285, 0.500) and Hg at (0.156, 0.273, 0.167).


First-principles (PBE) data for a relaxed structure of Na6ZnHg, as listed in Alexandria.

The calculation puts the calculated density at 2.92 g cm⁻³. The value obtained for the calculated volume is 28.735 Å³/atom. The energy relative to the elements comes out at -0.038 eV/atom. The energy is -1.22 eV/atom.

The structure belongs to space group P4/mmm (No. 123); the cell edges are 4.862, 4.862 and 9.723 Å and the angles 90.00°, 90.00° and 90.00°. The inequivalent atoms are Na at (0.000, 0.000, 0.000), Na at (0.000, 0.000, 0.500), Na at (0.000, 0.500, 0.249), Zn at (0.500, 0.500, 0.000) and Hg at (0.500, 0.500, 0.500).


First-principles (PBE) data for a relaxed structure of Na3ZnHg12, as listed in Alexandria.

The calculation puts the calculated density at 10.28 g cm⁻³. The value obtained for the calculated volume is 25.668 Å³/atom. The energy relative to the elements comes out at -0.108 eV/atom. The energy is -0.66 eV/atom.

The structure belongs to space group P4/mmm (No. 123); the cell edges are 4.757, 4.757 and 18.152 Å and the angles 90.00°, 90.00° and 90.00°. The inequivalent atoms are Na at (0.000, 0.000, 0.000), Na at (0.000, 0.000, 0.257), Zn at (0.000, 0.000, 0.500), Hg at (0.000, 0.500, 0.128), Hg at (0.000, 0.500, 0.381), Hg at (0.500, 0.500, 0.000), Hg at (0.500, 0.500, 0.255) and Hg at (0.500, 0.500, 0.500).


First-principles (PBE) data for a relaxed structure of Na2ZnHg2, as listed in Alexandria.

The value obtained for the distance to the lowest polymorph of the same formula is 21.5 kJ/mol of atoms. The calculation puts the calculated density at 6.09 g cm⁻³. The value obtained for the calculated volume is 27.949 Å³/atom. The energy relative to the elements comes out at 0.069 eV/atom. The energy is -0.83 eV/atom.

The structure belongs to space group I4/mmm (No. 139); the cell edges are 4.448, 4.448 and 14.124 Å and the angles 90.00°, 90.00° and 90.00°. The inequivalent atoms are Na at (0.000, 0.500, 0.250), Zn at (0.000, 0.000, 0.000) and Hg at (0.000, 0.000, 0.400).


First-principles (PBE) data for a relaxed structure of NaZnHg6, as listed in Alexandria.

The calculation puts the calculated density at 10.63 g cm⁻³. The value obtained for the calculated volume is 25.224 Å³/atom. The energy relative to the elements comes out at -0.039 eV/atom. The energy is -0.59 eV/atom.

The structure belongs to space group Amm2 (No. 38); the cell edges are 4.505, 8.963 and 9.996 Å and the angles 90.00°, 90.00° and 90.00°. The inequivalent atoms are Na at (0.000, 0.000, 0.000), Zn at (0.500, 0.000, 0.710), Hg at (0.000, 0.000, 0.444), Hg at (0.000, 0.205, 0.739), Hg at (0.500, 0.000, 0.224) and Hg at (0.500, 0.248, 0.492).


First-principles (PBE) data for a relaxed structure of Na9ZnHg2, as listed in Alexandria.

The calculation puts the calculated density at 2.95 g cm⁻³. The value obtained for the calculated volume is 31.637 Å³/atom. The energy relative to the elements comes out at -0.050 eV/atom. The energy is -1.20 eV/atom.

The structure belongs to space group P-1 (No. 2); the cell edges are 6.747, 6.856 and 9.394 Å and the angles 100.70°, 108.58° and 105.30°. The inequivalent atoms are Na at (0.000, 0.000, 0.000), Na at (0.090, 0.471, 0.848), Na at (0.129, 0.124, 0.400), Na at (0.463, 0.068, 0.814), Na at (0.476, 0.443, 0.266), Zn at (0.000, 0.500, 0.500) and Hg at (0.340, 0.775, 0.463).


First-principles (PBE) data for a relaxed structure of Na8ZnHg2, as listed in Alexandria.

The value obtained for the distance to the lowest polymorph of the same formula is 0.0 kJ/mol of atoms. The calculation puts the calculated density at 3.30 g cm⁻³. The value obtained for the calculated volume is 29.748 Å³/atom. The energy relative to the elements comes out at -0.083 eV/atom. The energy is -1.21 eV/atom.

The structure belongs to space group C2/m (No. 12); the cell edges are 18.076, 5.308 and 7.287 Å and the angles 90.00°, 110.60° and 90.00°. The inequivalent atoms are Na at (0.019, 0.000, 0.271), Na at (0.101, 0.500, 0.945), Na at (0.161, 0.500, 0.444), Na at (0.193, 0.000, 0.769), Zn at (0.000, 0.500, 0.500) and Hg at (0.180, 0.000, 0.192).


First-principles (PBE) data for a relaxed structure of Na6ZnHg5, as listed in Alexandria.

The calculation puts the calculated density at 6.50 g cm⁻³. The value obtained for the calculated volume is 25.679 Å³/atom. The energy relative to the elements comes out at -0.189 eV/atom. The energy is -1.08 eV/atom.

The structure belongs to space group P2/m (No. 10); the cell edges are 5.323, 7.338 and 7.982 Å and the angles 90.00°, 98.72° and 90.00°. The inequivalent atoms are Na at (0.000, 0.247, 0.000), Na at (0.282, 0.254, 0.656), Zn at (0.500, 0.500, 0.000), Hg at (0.220, 0.000, 0.325), Hg at (0.227, 0.500, 0.304) and Hg at (0.500, 0.000, 0.000).


First-principles (PBE) data for a relaxed structure of Na4ZnHg2, as listed in Alexandria.

The calculation puts the calculated density at 3.92 g cm⁻³. The value obtained for the calculated volume is 33.771 Å³/atom. The energy relative to the elements comes out at 0.050 eV/atom. The energy is -0.97 eV/atom.

The structure belongs to space group I4/mmm (No. 139); the cell edges are 5.549, 5.549 and 15.356 Å and the angles 90.00°, 90.00° and 90.00°. The inequivalent atoms are Na at (0.000, 0.000, 0.193), Na at (0.000, 0.500, 0.000), Zn at (0.000, 0.000, 0.000) and Hg at (0.000, 0.000, 0.393).